No. 1
{"formula": "NbSiAgHg2", "functional": "PBE", "state": "optimized geometry", "crystal_system": "tetragonal", "lattice": [[-1.723, -3.479, -3.761], [2.563, -3.536, 2.097], [-4.251, -1.244, 3.098]], "species": ["Hg", "Nb", "Si", "Ag", "Hg"], "frac_coords": [[0.000, 0.000, 0.500], [0.000, 0.000, 0.000], [0.000, 0.500, 0.000], [0.500, 0.500, 0.500], [0.500, 0.000, 0.000]]}

No. 2
{"formula": "NbFeTeIrN", "functional": "PBE", "state": "optimized geometry", "crystal_system": "orthorhombic", "e_above_lowest_polymorph_mev_per_atom": 0.0, "lattice": [[3.112, 0.000, 0.000], [0.000, 4.212, 0.000], [0.000, 0.000, 12.820]], "species": ["N", "Ir", "Te", "Fe", "Fe", "Nb", "N", "Nb", "Te", "Ir"], "frac_coords": [[0.000, 0.000, 0.895], [0.500, 0.500, 0.083], [0.500, 0.000, 0.211], [0.500, 0.000, 0.972], [0.500, 0.500, 0.472], [0.000, 0.500, 0.910], [0.000, 0.500, 0.395], [0.000, 0.000, 0.410], [0.500, 0.500, 0.711], [0.500, 0.000, 0.583]]}

| no. | uncorrected formation energy (eV per formula unit) | VASP energy (eV per atom) |
| --- | --- | --- |
| 1 | 4.27 | -2.935 |
| 2 | -0.77 | -7.927 |